A plane-wave DFT calculation with GGA-PBE was carried out for an optimized crystal structure of Tm2TlIr.

a b c (Å): 3.4503 3.4503 7.7035
angles (deg): 90.00 90.00 90.00
Element x y z (fractional)
Tm 0.0000 0.0000 0.2114
Tm 0.0000 0.0000 0.7886
Tl 0.5000 0.5000 0.5000
Ir 0.5000 0.5000 0.0000

Output
symmetry: P4/mmm
final energy: -5.6946 eV/atom